(1)
# NdYMgGe (PBE-GGA, relaxed)
# energy of formation from the pure elements = -0.37 eV/atom
# calculated volume = 25.10 A^3/atom
# magnetization = 0.00 μB/f.u.
# symmetry = F-43m (216)
data_NdYMgGe
_chemical_formula_sum 'Nd1 Y1 Mg1 Ge1'
_cell_length_a 5.217
_cell_length_b 5.217
_cell_length_c 5.217
_cell_angle_alpha 60.00
_cell_angle_beta 60.00
_cell_angle_gamma 60.00
_space_group_name_H-M_alt 'P 1'
_space_group_IT_number 1
_space_group_name_Hall 'P 1'
loop_
_atom_site_label
_atom_site_fract_x
_atom_site_fract_y
_atom_site_fract_z
Nd1 0.000 0.000 0.000
Y1 0.500 0.500 0.500
Mg1 0.250 0.250 0.250
Ge1 0.750 0.750 0.750

(2)
# Nd2MgZn4Ge3 (PBE-GGA, relaxed)
# energy of formation from the pure elements = -0.41 eV/atom
# calculated volume = 19.83 A^3/atom
# magnetization = 0.00 μB/f.u.
# symmetry = P-4m2 (115)
data_Nd2MgZn4Ge3
_chemical_formula_sum 'Nd2 Mg1 Zn4 Ge3'
_cell_length_a 4.229
_cell_length_b 4.229
_cell_length_c 11.088
_cell_angle_alpha 90.00
_cell_angle_beta 90.00
_cell_angle_gamma 90.00
_space_group_name_H-M_alt 'P 1'
_space_group_IT_number 1
_space_group_name_Hall 'P 1'
loop_
_atom_site_label
_atom_site_fract_x
_atom_site_fract_y
_atom_site_fract_z
Nd1 0.000 0.500 0.243
Nd2 0.500 0.000 0.757
Mg1 0.000 0.000 0.500
Zn1 0.000 0.000 0.000
Zn2 0.000 0.500 0.642
Zn3 0.500 0.000 0.358
Zn4 0.500 0.500 0.000
Ge1 0.000 0.500 0.863
Ge2 0.500 0.000 0.137
Ge3 0.500 0.500 0.500

(3)
# NdMg2Zn2Ge2 (PBE-GGA, relaxed)
# energy of formation from the pure elements = -0.29 eV/atom
# calculated volume = 19.95 A^3/atom
# magnetization = 0.00 μB/f.u.
# symmetry = R-3m (166)
data_NdMg2Zn2Ge2
_chemical_formula_sum 'Nd1 Mg2 Zn2 Ge2'
_cell_length_a 8.285
_cell_length_b 8.285
_cell_length_c 8.285
_cell_angle_alpha 31.72
_cell_angle_beta 31.72
_cell_angle_gamma 31.72
_space_group_name_H-M_alt 'P 1'
_space_group_IT_number 1
_space_group_name_Hall 'P 1'
loop_
_atom_site_label
_atom_site_fract_x
_atom_site_fract_y
_atom_site_fract_z
Nd1 0.000 0.000 0.000
Mg1 0.139 0.139 0.139
Mg2 0.861 0.861 0.861
Zn1 0.438 0.438 0.438
Zn2 0.562 0.562 0.562
Ge1 0.257 0.257 0.257
Ge2 0.743 0.743 0.743

(4)
# NdMgZnGe (PBE-GGA, relaxed)
# energy of formation from the pure elements = -0.34 eV/atom
# calculated volume = 21.74 A^3/atom
# magnetization = 0.00 μB/f.u.
# symmetry = F-43m (216)
data_NdMgZnGe
_chemical_formula_sum 'Nd1 Mg1 Zn1 Ge1'
_cell_length_a 4.973
_cell_length_b 4.973
_cell_length_c 4.973
_cell_angle_alpha 60.00
_cell_angle_beta 60.00
_cell_angle_gamma 60.00
_space_group_name_H-M_alt 'P 1'
_space_group_IT_number 1
_space_group_name_Hall 'P 1'
loop_
_atom_site_label
_atom_site_fract_x
_atom_site_fract_y
_atom_site_fract_z
Nd1 0.000 0.000 0.000
Mg1 0.500 0.500 0.500
Zn1 0.750 0.750 0.750
Ge1 0.250 0.250 0.250

(5)
# MgNi2Ge (PBE-GGA, relaxed)
# energy of formation from the pure elements = -0.26 eV/atom
# calculated volume = 13.06 A^3/atom
# magnetization = 0.00 μB/f.u.
# symmetry = P4/mmm (123)
data_MgNi2Ge
_chemical_formula_sum 'Mg1 Ni2 Ge1'
_cell_length_a 4.033
_cell_length_b 4.033
_cell_length_c 3.213
_cell_angle_alpha 90.00
_cell_angle_beta 90.00
_cell_angle_gamma 90.00
_space_group_name_H-M_alt 'P 1'
_space_group_IT_number 1
_space_group_name_Hall 'P 1'
loop_
_atom_site_label
_atom_site_fract_x
_atom_site_fract_y
_atom_site_fract_z
Mg1 0.000 0.000 0.000
Ni1 0.000 0.500 0.500
Ni2 0.500 0.000 0.500
Ge1 0.500 0.500 0.000

(6)
# MgNi5Ge2 (PBE-GGA, relaxed)
# energy of formation from the pure elements = -0.24 eV/atom
# calculated volume = 13.37 A^3/atom
# magnetization = 0.00 μB/f.u.
# symmetry = Immm (71)
data_MgNi5Ge2
_chemical_formula_sum 'Mg1 Ni5 Ge2'
_cell_length_a 6.114
_cell_length_b 6.114
_cell_length_c 6.114
_cell_angle_alpha 148.92
_cell_angle_beta 112.68
_cell_angle_gamma 75.99
_space_group_name_H-M_alt 'P 1'
_space_group_IT_number 1
_space_group_name_Hall 'P 1'
loop_
_atom_site_label
_atom_site_fract_x
_atom_site_fract_y
_atom_site_fract_z
Mg1 0.000 0.000 0.000
Ni1 0.163 0.366 0.798
Ni2 0.432 0.634 0.798
Ni3 0.500 0.000 0.500
Ni4 0.568 0.366 0.202
Ni5 0.837 0.634 0.202
Ge1 0.252 0.752 0.500
Ge2 0.748 0.248 0.500

(7)
# MgNi4Ge (PBE-GGA, relaxed)
# energy of formation from the pure elements = 0.00 eV/atom
# calculated volume = 13.71 A^3/atom
# magnetization = 0.00 μB/f.u.
# symmetry = Cmcm (63)
data_MgNi4Ge
_chemical_formula_sum 'Mg2 Ni8 Ge2'
_cell_length_a 6.793
_cell_length_b 6.793
_cell_length_c 6.097
_cell_angle_alpha 90.00
_cell_angle_beta 90.00
_cell_angle_gamma 144.22
_space_group_name_H-M_alt 'P 1'
_space_group_IT_number 1
_space_group_name_Hall 'P 1'
loop_
_atom_site_label
_atom_site_fract_x
_atom_site_fract_y
_atom_site_fract_z
Mg1 0.115 0.885 0.750
Mg2 0.885 0.115 0.250
Ni1 0.073 0.927 0.250
Ni2 0.254 0.746 0.070
Ni3 0.254 0.746 0.430
Ni4 0.500 0.500 0.000
Ni5 0.500 0.500 0.500
Ni6 0.746 0.254 0.570
Ni7 0.746 0.254 0.930
Ni8 0.927 0.073 0.750
Ge1 0.352 0.648 0.750
Ge2 0.648 0.352 0.250

(8)
# MgNi9Ge2 (PBE-GGA, relaxed)
# energy of formation from the pure elements = -0.21 eV/atom
# calculated volume = 11.67 A^3/atom
# magnetization = 1.55 μB/f.u.
# symmetry = P4/mmm (123)
data_MgNi9Ge2
_chemical_formula_sum 'Mg1 Ni9 Ge2'
_cell_length_a 3.606
_cell_length_b 3.606
_cell_length_c 10.765
_cell_angle_alpha 90.00
_cell_angle_beta 90.00
_cell_angle_gamma 90.00
_space_group_name_H-M_alt 'P 1'
_space_group_IT_number 1
_space_group_name_Hall 'P 1'
loop_
_atom_site_label
_atom_site_fract_x
_atom_site_fract_y
_atom_site_fract_z
Mg1 0.000 0.000 0.000
Ni1 0.000 0.500 0.174
Ni2 0.000 0.500 0.500
Ni3 0.000 0.500 0.826
Ni4 0.500 0.000 0.174
Ni5 0.500 0.000 0.500
Ni6 0.500 0.000 0.826
Ni7 0.500 0.500 0.000
Ni8 0.500 0.500 0.338
Ni9 0.500 0.500 0.662
Ge1 0.000 0.000 0.334
Ge2 0.000 0.000 0.666